Entry from the Alexandria database: an optimized crystal structure of PaMn10Be2 (PBE-GGA).

Unit cell a=6.2104 b=6.2104 c=7.7794 alpha=90.00 beta=90.00 gamma=97.90
Element x y z (fractional)
Pa: 0.8747 0.1253 0.7500
Pa: 0.1253 0.8747 0.2500
Mn: 0.3817 0.1230 0.7500
Mn: 0.6183 0.8770 0.2500
Mn: 0.8770 0.6183 0.7500
Mn: 0.1230 0.3817 0.2500
Mn: 0.5281 0.7431 0.7500
Mn: 0.4719 0.2569 0.2500
Mn: 0.2569 0.4719 0.7500
Mn: 0.7431 0.5281 0.2500
Mn: 0.8220 0.1780 0.3987
Mn: 0.1780 0.8220 0.8987
Mn: 0.8220 0.1780 0.1013
Mn: 0.1780 0.8220 0.6013
Mn: 0.6079 0.3921 0.9371
Mn: 0.3921 0.6079 0.4371
Mn: 0.6079 0.3921 0.5629
Mn: 0.3921 0.6079 0.0629
Mn: 0.7856 0.7856 0.0000
Mn: 0.2144 0.2144 0.5000
Mn: 0.2144 0.2144 0.0000
Mn: 0.7856 0.7856 0.5000
Be: 0.5000 0.0000 0.0000
Be: 0.5000 0.0000 0.5000
Be: 0.0000 0.5000 0.5000
Be: 0.0000 0.5000 0.0000

Values from the calculation:
The density of states at the Fermi level is 15.14 states/eV/f.u. Its formation energy is -0.067 eV/atom.